(one)
The following is a PBE calculation of Sr2SiH after structural relaxation, from the Alexandria database.

Its crystal system is tetragonal.

The structure belongs to space group I-42d (No. 122); the cell edges are 7.352, 7.352 and 7.944 Å and the angles 90.00°, 90.00° and 90.00°. The distinct sites, in fractional coordinates, are Sr at (0.183, 0.250, 0.125), Si at (0.000, 0.000, 0.500) and H at (0.000, 0.000, 0.000).

=====

(two)
The following is a PBE calculation of Sr2SiH after structural relaxation, from the Alexandria database.

Its crystal system is tetragonal.

The structure belongs to space group P4/mmm (No. 123); the cell edges are 5.383, 5.383 and 3.518 Å and the angles 90.00°, 90.00° and 90.00°. The distinct sites, in fractional coordinates, are Sr at (0.000, 0.500, 0.000), Si at (0.000, 0.000, 0.500) and H at (0.500, 0.500, 0.500).

=====

The structure shown above that is least stable: (one).